--- A ---
# NaHI2N

Crystalline NaHI2N at its relaxed geometry (PBE, the Alexandria database).

Output
Total moment: 0.374 μB per atom

```
data_NaHI2N
_chemical_formula_sum 'Na1 H1 I2 N1'
_space_group_name_H-M_alt 'P 4/m m m'
_space_group_IT_number 123
_space_group_name_Hall '-P 4 2'
_cell_length_a 6.183
_cell_length_b 6.183
_cell_length_c 3.071
_cell_angle_alpha 90.00
_cell_angle_beta 90.00
_cell_angle_gamma 90.00
loop_
_atom_site_label
_atom_site_type_symbol
_atom_site_fract_x
_atom_site_fract_y
_atom_site_fract_z
Na1 Na 0.000 0.000 0.000
H1 H 0.500 0.500 0.500
I1 I 0.000 0.500 0.500
N1 N 0.500 0.500 0.000
```


--- B ---
# NaHI2N

Crystalline NaHI2N at its relaxed geometry (PBE, the Alexandria database).

Output
Total moment: 1.013 μB per atom

```
data_NaHI2N
_chemical_formula_sum 'Na1 H1 I2 N1'
_space_group_name_H-M_alt 'P 4/m m m'
_space_group_IT_number 123
_space_group_name_Hall '-P 4 2'
_cell_length_a 6.029
_cell_length_b 6.029
_cell_length_c 5.299
_cell_angle_alpha 90.00
_cell_angle_beta 90.00
_cell_angle_gamma 90.00
loop_
_atom_site_label
_atom_site_type_symbol
_atom_site_fract_x
_atom_site_fract_y
_atom_site_fract_z
Na1 Na 0.000 0.000 0.000
H1 H 0.500 0.500 0.500
I1 I 0.000 0.500 0.000
N1 N 0.000 0.000 0.500
```


Most stable structure - A; separation to the second - 57.2 kJ/mol of atoms.


--- A ---
# NaHIN2

Crystalline NaHIN2 at its relaxed geometry (PBE, the Alexandria database).

Output
Total moment: 0.498 μB per atom

```
data_NaHIN2
_chemical_formula_sum 'Na1 H1 I1 N2'
_space_group_name_H-M_alt 'P 4/m m m'
_space_group_IT_number 123
_space_group_name_Hall '-P 4 2'
_cell_length_a 4.357
_cell_length_b 4.357
_cell_length_c 3.729
_cell_angle_alpha 90.00
_cell_angle_beta 90.00
_cell_angle_gamma 90.00
loop_
_atom_site_label
_atom_site_type_symbol
_atom_site_fract_x
_atom_site_fract_y
_atom_site_fract_z
Na1 Na 0.000 0.000 0.000
H1 H 0.500 0.500 0.500
I1 I 0.500 0.500 0.000
N1 N 0.000 0.500 0.500
```


--- B ---
# NaHIN2

Crystalline NaHIN2 at its relaxed geometry (PBE, the Alexandria database).

Output
Total moment: 1.384 μB per atom

```
data_NaHIN2
_chemical_formula_sum 'Na1 H1 I1 N2'
_space_group_name_H-M_alt 'P 4/m m m'
_space_group_IT_number 123
_space_group_name_Hall '-P 4 2'
_cell_length_a 5.217
_cell_length_b 5.217
_cell_length_c 5.842
_cell_angle_alpha 90.00
_cell_angle_beta 90.00
_cell_angle_gamma 90.00
loop_
_atom_site_label
_atom_site_type_symbol
_atom_site_fract_x
_atom_site_fract_y
_atom_site_fract_z
Na1 Na 0.000 0.000 0.000
H1 H 0.500 0.500 0.500
I1 I 0.000 0.000 0.500
N1 N 0.000 0.500 0.000
```


Most stable structure - A; separation to the second - 27.0 kJ/mol of atoms.


--- A ---
# HOsI2N

Crystalline HOsI2N at its relaxed geometry (PBE, the Alexandria database).

Output
Total moment: 0.124 μB per atom

```
data_HOsI2N
_chemical_formula_sum 'H1 Os1 I2 N1'
_space_group_name_H-M_alt 'P 4/m m m'
_space_group_IT_number 123
_space_group_name_Hall '-P 4 2'
_cell_length_a 5.600
_cell_length_b 5.600
_cell_length_c 3.711
_cell_angle_alpha 90.00
_cell_angle_beta 90.00
_cell_angle_gamma 90.00
loop_
_atom_site_label
_atom_site_type_symbol
_atom_site_fract_x
_atom_site_fract_y
_atom_site_fract_z
H1 H 0.000 0.000 0.000
Os1 Os 0.500 0.500 0.500
I1 I 0.000 0.500 0.500
N1 N 0.500 0.500 0.000
```


--- B ---
# HOsI2N

Crystalline HOsI2N at its relaxed geometry (PBE, the Alexandria database).

Output
Total moment: 0.207 μB per atom

```
data_HOsI2N
_chemical_formula_sum 'H1 Os1 I2 N1'
_space_group_name_H-M_alt 'P 4/m m m'
_space_group_IT_number 123
_space_group_name_Hall '-P 4 2'
_cell_length_a 5.116
_cell_length_b 5.116
_cell_length_c 3.002
_cell_angle_alpha 90.00
_cell_angle_beta 90.00
_cell_angle_gamma 90.00
loop_
_atom_site_label
_atom_site_type_symbol
_atom_site_fract_x
_atom_site_fract_y
_atom_site_fract_z
H1 H 0.000 0.000 0.000
Os1 Os 0.500 0.500 0.500
I1 I 0.000 0.500 0.000
N1 N 0.000 0.000 0.500
```


Most stable structure - A; separation to the second - 90.0 kJ/mol of atoms.


--- A ---
# HPbI2N

Crystalline HPbI2N at its relaxed geometry (PBE, the Alexandria database).

Output
Total moment: 0.396 μB per atom

```
data_HPbI2N
_chemical_formula_sum 'H1 Pb1 I2 N1'
_space_group_name_H-M_alt 'P 4/m m m'
_space_group_IT_number 123
_space_group_name_Hall '-P 4 2'
_cell_length_a 6.049
_cell_length_b 6.049
_cell_length_c 3.325
_cell_angle_alpha 90.00
_cell_angle_beta 90.00
_cell_angle_gamma 90.00
loop_
_atom_site_label
_atom_site_type_symbol
_atom_site_fract_x
_atom_site_fract_y
_atom_site_fract_z
H1 H 0.000 0.000 0.000
Pb1 Pb 0.500 0.500 0.500
I1 I 0.000 0.500 0.000
N1 N 0.000 0.000 0.500
```


--- B ---
# HPbI2N

Crystalline HPbI2N at its relaxed geometry (PBE, the Alexandria database).

Output
Total moment: 0.609 μB per atom

```
data_HPbI2N
_chemical_formula_sum 'H1 Pb1 I2 N1'
_space_group_name_H-M_alt 'P 4/m m m'
_space_group_IT_number 123
_space_group_name_Hall '-P 4 2'
_cell_length_a 6.198
_cell_length_b 6.198
_cell_length_c 4.767
_cell_angle_alpha 90.00
_cell_angle_beta 90.00
_cell_angle_gamma 90.00
loop_
_atom_site_label
_atom_site_type_symbol
_atom_site_fract_x
_atom_site_fract_y
_atom_site_fract_z
H1 H 0.000 0.000 0.000
Pb1 Pb 0.500 0.500 0.500
I1 I 0.000 0.500 0.500
N1 N 0.500 0.500 0.000
```


Most stable structure - A; separation to the second - 15.6 kJ/mol of atoms.


--- A ---
# HPdIN2

Crystalline HPdIN2 at its relaxed geometry (PBE, the Alexandria database).

Output
Total moment: 0.000 μB per atom

```
data_HPdIN2
_chemical_formula_sum 'H1 Pd1 I1 N2'
_space_group_name_H-M_alt 'P 4/m m m'
_space_group_IT_number 123
_space_group_name_Hall '-P 4 2'
_cell_length_a 4.084
_cell_length_b 4.084
_cell_length_c 3.557
_cell_angle_alpha 90.00
_cell_angle_beta 90.00
_cell_angle_gamma 90.00
loop_
_atom_site_label
_atom_site_type_symbol
_atom_site_fract_x
_atom_site_fract_y
_atom_site_fract_z
H1 H 0.000 0.000 0.000
Pd1 Pd 0.500 0.500 0.500
I1 I 0.000 0.000 0.500
N1 N 0.000 0.500 0.000
```


--- B ---
# HPdIN2

Crystalline HPdIN2 at its relaxed geometry (PBE, the Alexandria database).

Output
Total moment: 0.035 μB per atom

```
data_HPdIN2
_chemical_formula_sum 'H1 Pd1 I1 N2'
_space_group_name_H-M_alt 'P 4/m m m'
_space_group_IT_number 123
_space_group_name_Hall '-P 4 2'
_cell_length_a 3.737
_cell_length_b 3.737
_cell_length_c 8.806
_cell_angle_alpha 90.00
_cell_angle_beta 90.00
_cell_angle_gamma 90.00
loop_
_atom_site_label
_atom_site_type_symbol
_atom_site_fract_x
_atom_site_fract_y
_atom_site_fract_z
H1 H 0.000 0.000 0.000
Pd1 Pd 0.500 0.500 0.500
I1 I 0.500 0.500 0.000
N1 N 0.000 0.500 0.500
```


Most stable structure - B; separation to the second - 51.7 kJ/mol of atoms.


--- A ---
# RbHI2N

Crystalline RbHI2N at its relaxed geometry (PBE, the Alexandria database).

Output
Total moment: 1.014 μB per atom

```
data_RbHI2N
_chemical_formula_sum 'Rb1 H1 I2 N1'
_space_group_name_H-M_alt 'P 4/m m m'
_space_group_IT_number 123
_space_group_name_Hall '-P 4 2'
_cell_length_a 7.099
_cell_length_b 7.099
_cell_length_c 6.799
_cell_angle_alpha 90.00
_cell_angle_beta 90.00
_cell_angle_gamma 90.00
loop_
_atom_site_label
_atom_site_type_symbol
_atom_site_fract_x
_atom_site_fract_y
_atom_site_fract_z
Rb1 Rb 0.000 0.000 0.000
H1 H 0.500 0.500 0.500
I1 I 0.000 0.500 0.000
N1 N 0.000 0.000 0.500
```


--- B ---
# RbHI2N

Crystalline RbHI2N at its relaxed geometry (PBE, the Alexandria database).

Output
Total moment: 0.383 μB per atom

```
data_RbHI2N
_chemical_formula_sum 'Rb1 H1 I2 N1'
_space_group_name_H-M_alt 'P 4/m m m'
_space_group_IT_number 123
_space_group_name_Hall '-P 4 2'
_cell_length_a 6.768
_cell_length_b 6.768
_cell_length_c 3.115
_cell_angle_alpha 90.00
_cell_angle_beta 90.00
_cell_angle_gamma 90.00
loop_
_atom_site_label
_atom_site_type_symbol
_atom_site_fract_x
_atom_site_fract_y
_atom_site_fract_z
Rb1 Rb 0.000 0.000 0.000
H1 H 0.500 0.500 0.500
I1 I 0.000 0.500 0.500
N1 N 0.500 0.500 0.000
```


Most stable structure - B; separation to the second - 64.5 kJ/mol of atoms.


--- A ---
# RbHIN2

Crystalline RbHIN2 at its relaxed geometry (PBE, the Alexandria database).

Output
Total moment: 1.421 μB per atom

```
data_RbHIN2
_chemical_formula_sum 'Rb1 H1 I1 N2'
_space_group_name_H-M_alt 'P 4/m m m'
_space_group_IT_number 123
_space_group_name_Hall '-P 4 2'
_cell_length_a 6.310
_cell_length_b 6.310
_cell_length_c 6.877
_cell_angle_alpha 90.00
_cell_angle_beta 90.00
_cell_angle_gamma 90.00
loop_
_atom_site_label
_atom_site_type_symbol
_atom_site_fract_x
_atom_site_fract_y
_atom_site_fract_z
Rb1 Rb 0.000 0.000 0.000
H1 H 0.500 0.500 0.500
I1 I 0.000 0.000 0.500
N1 N 0.000 0.500 0.000
```


--- B ---
# RbHIN2

Crystalline RbHIN2 at its relaxed geometry (PBE, the Alexandria database).

Output
Total moment: 1.057 μB per atom

```
data_RbHIN2
_chemical_formula_sum 'Rb1 H1 I1 N2'
_space_group_name_H-M_alt 'P 4/m m m'
_space_group_IT_number 123
_space_group_name_Hall '-P 4 2'
_cell_length_a 5.451
_cell_length_b 5.451
_cell_length_c 3.947
_cell_angle_alpha 90.00
_cell_angle_beta 90.00
_cell_angle_gamma 90.00
loop_
_atom_site_label
_atom_site_type_symbol
_atom_site_fract_x
_atom_site_fract_y
_atom_site_fract_z
Rb1 Rb 0.000 0.000 0.000
H1 H 0.500 0.500 0.500
I1 I 0.500 0.500 0.000
N1 N 0.000 0.500 0.500
```


Most stable structure - B; separation to the second - 43.3 kJ/mol of atoms.


--- A ---
# ReHIN2

Crystalline ReHIN2 at its relaxed geometry (PBE, the Alexandria database).

Output
Total moment: 0.000 μB per atom

```
data_ReHIN2
_chemical_formula_sum 'Re1 H1 I1 N2'
_space_group_name_H-M_alt 'P 4/m m m'
_space_group_IT_number 123
_space_group_name_Hall '-P 4 2'
_cell_length_a 4.092
_cell_length_b 4.092
_cell_length_c 3.288
_cell_angle_alpha 90.00
_cell_angle_beta 90.00
_cell_angle_gamma 90.00
loop_
_atom_site_label
_atom_site_type_symbol
_atom_site_fract_x
_atom_site_fract_y
_atom_site_fract_z
Re1 Re 0.000 0.000 0.000
H1 H 0.500 0.500 0.500
I1 I 0.500 0.500 0.000
N1 N 0.000 0.500 0.500
```


--- B ---
# ReHIN2

Crystalline ReHIN2 at its relaxed geometry (PBE, the Alexandria database).

Output
Total moment: 0.807 μB per atom

```
data_ReHIN2
_chemical_formula_sum 'Re1 H1 I1 N2'
_space_group_name_H-M_alt 'P 4/m m m'
_space_group_IT_number 123
_space_group_name_Hall '-P 4 2'
_cell_length_a 3.927
_cell_length_b 3.927
_cell_length_c 5.525
_cell_angle_alpha 90.00
_cell_angle_beta 90.00
_cell_angle_gamma 90.00
loop_
_atom_site_label
_atom_site_type_symbol
_atom_site_fract_x
_atom_site_fract_y
_atom_site_fract_z
Re1 Re 0.000 0.000 0.000
H1 H 0.500 0.500 0.000
I1 I 0.000 0.000 0.500
N1 N 0.000 0.500 0.500
```


Most stable structure - A; separation to the second - 48.2 kJ/mol of atoms.